This record from the Open Quantum Materials Database describes ReBi2 after structural relaxation. The functional is PBE.

**Space group**: Fd-3m (227)
**ρ**: 4.9 g/cm3
**Relative energy among the computed polymorphs**: 816 meV per atom

Cell lengths 8.329, 8.329, 8.329 Å; angles 60.00, 60.00, 60.00 degrees
Sites, in units of the cell vectors:
Re: 0.125 0.125 0.125
Re: 0.875 0.875 0.875
Bi: 0.000 0.000 0.000
Bi: 0.000 0.000 0.500
Bi: 0.000 0.500 0.000
Bi: 0.500 0.000 0.000